Crystalline CaSiAu3 at its relaxed geometry, computed with PBE.

## Properties
Mass density in Mg/m³: 9.67
Offset from the most stable computed form in meV per atom: 136
Volume in Å³/atom: 22.6
Total energy in eV for the cell shown: -19.12

extended XYZ file:
```
5
Lattice="4.837 0.000 0.000 0.000 4.837 0.000 0.000 0.000 4.837" Properties=species:S:1:pos:R:3 pbc="T T T"
Ca 0.000 0.000 0.000
Si 2.419 2.419 2.419
Au 0.000 2.419 2.419
Au 2.419 0.000 2.419
Au 2.419 2.419 0.000
```